(1)
VASP calculation (PBE-GGA) on crystalline Ac2La4Tl3O2 at its relaxed geometry.

Computed properties:
Calculated total energy   -5.324 eV per atom
Formation energy without anion corrections   -1.24 eV per atom
Calculated volume   30.53 A^3/atom
Size of the total moment   0.00 μB per formula unit
Space-group type   No. 139

Lattice parameters (Å, degrees): 5.0036 5.0036 13.8731 100.39 100.39 90.00
With the nearest neighbours (Å) after each atom.
Positions (direct):
Tl1 0.8276 0.8276 0.6552  4 La 3.44, 5 Ac 3.47-3.61
O1 0.6016 0.6016 0.2033  4 La 2.54, 1 Ac 2.60
La1 0.5845 0.0845 0.1691  2 O 2.54
La2 0.9155 0.4155 0.8309  2 O 2.54
Ac1 0.6984 0.6984 0.3968  1 O 2.60
La3 0.0845 0.5845 0.1691  2 O 2.54
Tl2 0.0000 0.0000 0.0000  8 La 3.38
O2 0.3984 0.3984 0.7967  4 La 2.54, 1 Ac 2.60
Tl3 0.1724 0.1724 0.3448  4 La 3.44, 5 Ac 3.47-3.61
La4 0.4155 0.9155 0.8309  2 O 2.54
Ac2 0.3016 0.3016 0.6032  1 O 2.60

=====

(2)
VASP calculation (PBE-GGA) on crystalline Ac2LaTlO6 at its relaxed geometry.

Computed properties:
Calculated total energy   -7.177 eV per atom
Formation energy without anion corrections   -2.65 eV per atom
Calculated volume   17.96 A^3/atom
Size of the total moment   0.00 μB per formula unit
Space-group type   No. 146

Lattice parameters (Å, degrees): 6.2713 6.2713 6.3970 60.65 60.65 60.00
With the nearest neighbours (Å) after each atom.
Positions (direct):
Tl1 0.3096 0.3096 0.0711  6 O 2.31-2.42
O1 0.1846 0.9505 0.2591  1 Tl 2.31, 1 La 2.50, 1 Ac 2.52
Ac1 0.0328 0.0328 0.9017  6 O 2.50-2.62
O2 0.6828 0.1176 0.7593  1 La 2.34, 1 Tl 2.42, 2 Ac 2.50-2.58
O3 0.4403 0.6829 0.7593  1 La 2.34, 1 Tl 2.42, 2 Ac 2.50-2.58
O4 0.9506 0.6057 0.2592  1 Tl 2.31, 1 La 2.50, 1 Ac 2.52
Ac2 0.5321 0.5321 0.4037  6 O 2.52-2.58
La1 0.8055 0.8055 0.5834  6 O 2.34-2.50
O5 0.1176 0.4403 0.7593  1 La 2.34, 1 Tl 2.42, 2 Ac 2.50-2.58
O6 0.6057 0.1846 0.2591  1 Tl 2.31, 1 La 2.50, 1 Ac 2.52

=====

(3)
VASP calculation (PBE-GGA) on crystalline Ac2LaUO8 at its relaxed geometry.

Computed properties:
Calculated total energy   -8.544 eV per atom
Formation energy without anion corrections   -3.20 eV per atom
Calculated volume   15.56 A^3/atom
Size of the total moment   0.99 μB per formula unit
Space-group type   No. 47

Lattice parameters (Å, degrees): 4.1094 5.7617 7.8847 90.00 90.00 90.06
With the nearest neighbours (Å) after each atom.
Positions (direct):
La1 0.0000 0.0000 0.5000  8 O 2.49-2.62
O1 0.9995 0.2278 0.2125  1 U 2.13
Ac1 0.5000 0.5000 0.7547  8 O 2.48-2.60
O2 0.5000 0.7540 0.5000  2 Ac 2.48, 2 La 2.49-2.50
O3 0.5000 0.2460 0.5000  2 Ac 2.48, 2 La 2.49-2.50
O4 0.4991 0.2074 0.0000  2 U 2.37-2.38, 5 O 2.39-2.65, 2 Ac 2.57
U1 0.0000 0.0000 0.0000  8 O 2.13-2.38
O5 0.0005 0.7722 0.7875  1 U 2.13
O6 0.9995 0.2278 0.7875  1 U 2.13
O7 0.5009 0.7926 0.0000  2 U 2.37-2.38, 5 O 2.39-2.65, 2 Ac 2.57
O8 0.0005 0.7722 0.2125  1 U 2.13
Ac2 0.5000 0.5000 0.2453  8 O 2.48-2.60

=====

(4)
VASP calculation (PBE-GGA) on crystalline AcLaU2O8 at its relaxed geometry.

Computed properties:
Calculated total energy   -9.051 eV per atom
Formation energy without anion corrections   -3.11 eV per atom
Calculated volume   18.68 A^3/atom
Size of the total moment   2.00 μB per formula unit
Space-group type   No. 119

Lattice parameters (Å, degrees): 6.6288 6.6288 6.6288 108.92 108.92 110.58
With the nearest neighbours (Å) after each atom.
Positions (direct):
O1 0.8747 0.6992 0.1755  1 U 2.02
La1 0.0000 0.0000 0.0000  8 O 2.48-2.64
O2 0.9439 0.6264 0.6825  1 U 2.03
O3 0.3008 0.4762 0.1755  1 U 2.02
Ac1 0.2500 0.7500 0.5000  8 O 2.53-2.70
O4 0.9439 0.2615 0.3175  1 U 2.03
O5 0.7385 0.0561 0.6825  1 U 2.03
O6 0.5238 0.6992 0.8245  1 U 2.02
U1 0.5000 0.5000 0.0000  4 O 2.02
U2 0.7500 0.2500 0.5000  4 O 2.03
O7 0.3736 0.0561 0.3175  1 U 2.03
O8 0.3008 0.1253 0.8245  1 U 2.02

=====

(5)
VASP calculation (PBE-GGA) on crystalline AcLaUO6 at its relaxed geometry.

Computed properties:
Calculated total energy   -8.845 eV per atom
Formation energy without anion corrections   -3.28 eV per atom
Calculated volume   17.29 A^3/atom
Size of the total moment   0.00 μB per formula unit
Space-group type   No. 163

Lattice parameters (Å, degrees): 6.1968 6.1968 9.3570 90.00 90.00 120.00
With the nearest neighbours (Å) after each atom.
Positions (direct):
U1 0.3333 0.6667 0.7500  6 O 2.11
O1 0.3224 0.9511 0.6327  1 U 2.11
O2 0.6287 0.6776 0.6327  1 U 2.11
Ac1 0.6667 0.3333 0.7500  6 O 2.51
O3 0.9511 0.3224 0.1327  1 U 2.11
U2 0.6667 0.3333 0.2500  6 O 2.11
O4 0.3713 0.3224 0.3673  1 U 2.11
O5 0.9511 0.6287 0.3673  1 U 2.11
O6 0.6776 0.0489 0.3673  1 U 2.11
O7 0.0489 0.6776 0.8673  1 U 2.11
Ac2 0.3333 0.6667 0.2500  6 O 2.51
O8 0.3224 0.3713 0.8673  1 U 2.11
La1 0.0000 0.0000 0.0000  6 O 2.50
O9 0.6776 0.6287 0.1327  1 U 2.11
La2 0.0000 0.0000 0.5000  6 O 2.50
O10 0.3713 0.0489 0.1327  1 U 2.11
O11 0.0489 0.3713 0.6327  1 U 2.11
O12 0.6287 0.9511 0.8673  1 U 2.11

=====

- Which of these has the lowest calculated volume?
  Ac2LaUO8